# LiVN2O

A geometry-optimized LiVN2O structure (GGA+U, Alexandria via LeMat-Bulk).

Structure (POSCAR):
```
LiVN2O
1.0
-1.590 -3.438 -0.491
2.792 -1.586 2.068
-2.060 0.500 3.165
Li N V O
1 2 1 1
Direct
0.500 0.500 0.500
0.500 0.000 0.000
0.000 0.500 0.000
0.000 0.000 0.000
0.000 0.000 0.500
```

Calculated values
- Calculated volume: 11.114 Å³ per atom
- Calculated total energy: -6.292 eV/atom